Record 1
Ba2CuOsS6 | OQMD via LeMat-Bulk | GGA-PBE | optimized geometry; E = -51.36 eV/cell
1.0
-2.583 5.117 4.044
4.056 5.079 2.638
-0.429 6.644 -2.208
S Ba Cu Os
6 2 1 1
Cartesian
0.029 7.779 0.045
2.349 6.986 2.489
-1.054 10.214 2.193
1.021 9.528 4.293
1.890 10.223 1.474
-1.029 6.994 3.247
0.780 12.582 3.343
0.272 4.385 1.165
0.969 15.636 4.154
0.510 8.224 2.185

Record 2
Ba2CuOsS6 | OQMD via LeMat-Bulk | GGA-PBE | optimized geometry; E = -50.60 eV/cell
1.0
5.848 -3.376 0.000
5.848 3.376 0.000
-3.898 0.000 5.513
S Ba Cu Os
6 2 1 1
Cartesian
4.869 -1.681 1.384
2.928 1.681 4.129
2.928 -1.681 4.129
1.958 0.000 1.384
4.869 1.681 1.384
5.839 0.000 4.129
0.000 0.000 4.135
7.797 0.000 1.378
0.000 0.000 0.000
3.898 0.000 2.757

Record 3
Ba2CuOsSe6 | OQMD via LeMat-Bulk | GGA-PBE | optimized geometry; E = -46.78 eV/cell
1.0
3.599 2.078 5.787
-3.599 2.078 5.787
0.000 -4.156 5.787
Se Ba Cu Os
6 2 1 1
Cartesian
1.823 1.177 7.366
0.108 -2.167 7.366
1.699 -0.716 10.298
-0.230 1.830 10.298
-1.470 -1.114 10.298
-1.930 0.990 7.366
0.000 0.000 13.142
0.000 0.000 4.526
0.000 0.000 16.404
0.000 0.000 8.357